VASP calculation (PBE) on crystalline Sc2HgAs at its relaxed geometry.

Computed properties:
Energy of formation from the pure elements in eV per formula unit: -2.6
Total magnetization in μB per formula unit: 0.000
Excess energy over the best structure of this formula in the dataset in meV per atom: 164
Symmetry: No. 99

abc: 3.995 3.995 5.678
angles: 90.00 90.00 90.00
Sites, in units of the cell vectors:
Sc  0.000  0.000  0.000
Sc  0.500  0.500  0.499
Hg  0.000  0.000  0.500
As  0.500  0.500  0.999

VASP calculation (PBE) on crystalline ScHgAs2 at its relaxed geometry.

Computed properties:
Energy of formation from the pure elements in eV per formula unit: -1.4
Total magnetization in μB per formula unit: 0.000
Excess energy over the best structure of this formula in the dataset in meV per atom: 151
Symmetry: No. 119

abc: 3.986 3.986 10.266
angles: 90.00 90.00 90.00
Sites, in units of the cell vectors:
Sc  0.000  0.000  0.000
Sc  0.500  0.500  0.500
Hg  0.000  0.500  0.250
Hg  0.500  0.000  0.750
As  0.000  0.000  0.500
As  0.000  0.500  0.750
As  0.500  0.000  0.250
As  0.500  0.500  0.000

VASP calculation (PBE) on crystalline ScHgAs2 at its relaxed geometry.

Computed properties:
Energy of formation from the pure elements in eV per formula unit: -0.5
Total magnetization in μB per formula unit: 0.000
Excess energy over the best structure of this formula in the dataset in meV per atom: 372
Symmetry: No. 225

abc: 6.935 6.935 6.935
angles: 90.00 90.00 90.00
Sites, in units of the cell vectors:
Sc  0.000  0.000  0.000
Sc  0.000  0.500  0.500
Sc  0.500  0.000  0.500
Sc  0.500  0.500  0.000
Hg  0.000  0.000  0.500
Hg  0.000  0.500  0.000
Hg  0.500  0.000  0.000
Hg  0.500  0.500  0.500
As  0.250  0.250  0.250
As  0.250  0.250  0.750
As  0.250  0.750  0.250
As  0.250  0.750  0.750
As  0.750  0.250  0.250
As  0.750  0.250  0.750
As  0.750  0.750  0.250
As  0.750  0.750  0.750

VASP calculation (PBE) on crystalline Sc2HgAs at its relaxed geometry.

Computed properties:
Energy of formation from the pure elements in eV per formula unit: -2.8
Total magnetization in μB per formula unit: 0.847
Excess energy over the best structure of this formula in the dataset in meV per atom: 115
Symmetry: No. 123

abc: 3.563 3.563 6.461
angles: 90.00 90.00 90.00
Sites, in units of the cell vectors:
Sc  0.000  0.000  0.229
Sc  0.000  0.000  0.771
Hg  0.500  0.500  0.500
As  0.500  0.500  0.000

VASP calculation (PBE) on crystalline ScHgAs2 at its relaxed geometry.

Computed properties:
Energy of formation from the pure elements in eV per formula unit: -0.8
Total magnetization in μB per formula unit: 0.000
Excess energy over the best structure of this formula in the dataset in meV per atom: 299
Symmetry: No. 166

abc: 3.205 3.205 31.809
angles: 90.00 90.00 120.00
Sites, in units of the cell vectors:
Sc  0.000  0.000  0.000
Sc  0.333  0.667  0.667
Sc  0.667  0.333  0.333
Hg  0.000  0.000  0.500
Hg  0.333  0.667  0.167
Hg  0.667  0.333  0.833
As  0.000  0.000  0.267
As  0.000  0.000  0.733
As  0.333  0.667  0.400
As  0.333  0.667  0.933
As  0.667  0.333  0.067
As  0.667  0.333  0.600

VASP calculation (PBE) on crystalline ScHgAs2 at its relaxed geometry.

Computed properties:
Energy of formation from the pure elements in eV per formula unit: -0.4
Total magnetization in μB per formula unit: 0.000
Excess energy over the best structure of this formula in the dataset in meV per atom: 392
Symmetry: No. 99

abc: 3.060 3.060 9.414
angles: 90.00 90.00 90.00
Sites, in units of the cell vectors:
Sc  0.000  0.000  0.000
Hg  0.500  0.500  0.764
As  0.000  0.000  0.526
As  0.500  0.500  0.193

VASP calculation (PBE) on crystalline Sc3HgAs at its relaxed geometry.

Computed properties:
Energy of formation from the pure elements in eV per formula unit: -2.1
Total magnetization in μB per formula unit: 0.000
Excess energy over the best structure of this formula in the dataset in meV per atom: 0
Symmetry: No. 221

abc: 5.009 5.009 5.009
angles: 90.00 90.00 90.00
Sites, in units of the cell vectors:
Sc  0.000  0.000  0.500
Sc  0.000  0.500  0.000
Sc  0.500  0.000  0.000
Hg  0.500  0.500  0.500
As  0.000  0.000  0.000

VASP calculation (PBE) on crystalline Sc4HgAs at its relaxed geometry.

Computed properties:
Energy of formation from the pure elements in eV per formula unit: 0.9
Total magnetization in μB per formula unit: 0.030
Symmetry: No. 216

abc: 5.774 5.774 5.774
angles: 60.00 60.00 60.00
Sites, in units of the cell vectors:
Sc  0.125  0.125  0.125
Sc  0.125  0.125  0.626
Sc  0.125  0.626  0.125
Sc  0.626  0.125  0.125
Hg  0.500  0.500  0.500
As  0.750  0.750  0.750

VASP calculation (PBE) on crystalline ScHgAs2 at its relaxed geometry.

Computed properties:
Energy of formation from the pure elements in eV per formula unit: -0.4
Total magnetization in μB per formula unit: 0.000
Excess energy over the best structure of this formula in the dataset in meV per atom: 404
Symmetry: No. 216

abc: 6.940 6.940 6.940
angles: 90.00 90.00 90.00
Sites, in units of the cell vectors:
Sc  0.000  0.000  0.000
Sc  0.000  0.500  0.500
Sc  0.500  0.000  0.500
Sc  0.500  0.500  0.000
Hg  0.250  0.250  0.750
Hg  0.250  0.750  0.250
Hg  0.750  0.250  0.250
Hg  0.750  0.750  0.750
As  0.000  0.000  0.500
As  0.000  0.500  0.000
As  0.250  0.250  0.250
As  0.250  0.750  0.750
As  0.500  0.000  0.000
As  0.500  0.500  0.500
As  0.750  0.250  0.750
As  0.750  0.750  0.250

VASP calculation (PBE) on crystalline Sc2HgAs at its relaxed geometry.

Computed properties:
Energy of formation from the pure elements in eV per formula unit: -2.5
Total magnetization in μB per formula unit: 0.000
Excess energy over the best structure of this formula in the dataset in meV per atom: 199
Symmetry: No. 71

abc: 4.009 5.239 8.089
angles: 90.00 90.00 90.00
Sites, in units of the cell vectors:
Sc  0.000  0.000  0.227
Sc  0.000  0.000  0.773
Sc  0.500  0.500  0.273
Sc  0.500  0.500  0.727
Hg  0.000  0.500  0.000
Hg  0.500  0.000  0.500
As  0.000  0.500  0.500
As  0.500  0.000  0.000

VASP calculation (PBE) on crystalline ScHg2As at its relaxed geometry.

Computed properties:
Energy of formation from the pure elements in eV per formula unit: -1.4
Total magnetization in μB per formula unit: 0.000
Symmetry: No. 139

abc: 4.001 4.001 11.093
angles: 90.00 90.00 90.00
Sites, in units of the cell vectors:
Sc  0.000  0.000  0.000
Sc  0.500  0.500  0.500
Hg  0.000  0.500  0.250
Hg  0.000  0.500  0.750
Hg  0.500  0.000  0.250
Hg  0.500  0.000  0.750
As  0.000  0.000  0.500
As  0.500  0.500  0.000

VASP calculation (PBE) on crystalline ScHg2As at its relaxed geometry.

Computed properties:
Energy of formation from the pure elements in eV per formula unit: -1.5
Total magnetization in μB per formula unit: 0.000
Symmetry: No. 99

abc: 3.728 3.728 6.593
angles: 90.00 90.00 90.00
Sites, in units of the cell vectors:
Sc  0.000  0.000  0.000
Hg  0.000  0.000  0.455
Hg  0.500  0.500  0.693
As  0.500  0.500  0.124

VASP calculation (PBE) on crystalline ScHg2As at its relaxed geometry.

Computed properties:
Energy of formation from the pure elements in eV per formula unit: 0.0
Total magnetization in μB per formula unit: 0.000
Symmetry: No. 166

abc: 3.393 3.393 27.337
angles: 90.00 90.00 120.00
Sites, in units of the cell vectors:
Sc  0.000  0.000  0.000
Sc  0.333  0.667  0.667
Sc  0.667  0.333  0.333
Hg  0.000  0.000  0.251
Hg  0.000  0.000  0.749
Hg  0.333  0.667  0.416
Hg  0.333  0.667  0.918
Hg  0.667  0.333  0.082
Hg  0.667  0.333  0.584
As  0.000  0.000  0.500
As  0.333  0.667  0.167
As  0.667  0.333  0.833

VASP calculation (PBE) on crystalline ScHg2As at its relaxed geometry.

Computed properties:
Energy of formation from the pure elements in eV per formula unit: -1.5
Total magnetization in μB per formula unit: 0.000
Symmetry: No. 123

abc: 4.078 4.078 5.217
angles: 90.00 90.00 90.00
Sites, in units of the cell vectors:
Sc  0.000  0.000  0.000
Hg  0.000  0.500  0.500
Hg  0.500  0.000  0.500
As  0.500  0.500  0.000

VASP calculation (PBE) on crystalline ScHgAs2 at its relaxed geometry.

Computed properties:
Energy of formation from the pure elements in eV per formula unit: -0.9
Total magnetization in μB per formula unit: 0.000
Excess energy over the best structure of this formula in the dataset in meV per atom: 270
Symmetry: No. 122

abc: 7.537 7.537 6.169
angles: 90.00 90.00 90.00
Sites, in units of the cell vectors:
Sc  0.000  0.000  0.000
Sc  0.000  0.500  0.250
Sc  0.500  0.000  0.750
Sc  0.500  0.500  0.500
Hg  0.000  0.000  0.500
Hg  0.000  0.500  0.750
Hg  0.500  0.000  0.250
Hg  0.500  0.500  0.000
As  0.247  0.250  0.125
As  0.250  0.747  0.375
As  0.250  0.753  0.875
As  0.253  0.250  0.625
As  0.747  0.750  0.625
As  0.750  0.247  0.875
As  0.750  0.253  0.375
As  0.753  0.750  0.125

VASP calculation (PBE) on crystalline ScHgAs2 at its relaxed geometry.

Computed properties:
Energy of formation from the pure elements in eV per formula unit: -1.8
Total magnetization in μB per formula unit: 0.000
Excess energy over the best structure of this formula in the dataset in meV per atom: 62
Symmetry: No. 99

abc: 3.965 3.965 5.635
angles: 90.00 90.00 90.00
Sites, in units of the cell vectors:
Sc  0.000  0.000  0.000
Hg  0.500  0.500  0.543
As  0.000  0.000  0.505
As  0.500  0.500  0.038

VASP calculation (PBE) on crystalline ScHgAsSe2 at its relaxed geometry.

Computed properties:
Total magnetization in μB per formula unit: 0.000
Formation energy without anion corrections in eV per atom: 0.41
Excess energy over the best structure of this formula in the dataset in meV per atom: 560
Symmetry: No. 123

abc: 5.174 5.174 5.129
angles: 90.00 90.00 90.00
Sites, in units of the cell vectors:
Sc  0.000  0.000  0.000
Hg  0.500  0.500  0.500
As  0.500  0.500  0.000
Se  0.000  0.500  0.500
Se  0.500  0.000  0.500

VASP calculation (PBE) on crystalline ScHgAsSe2 at its relaxed geometry.

Computed properties:
Total magnetization in μB per formula unit: 0.736
Formation energy without anion corrections in eV per atom: -0.15
Excess energy over the best structure of this formula in the dataset in meV per atom: 0
Symmetry: No. 123

abc: 5.122 5.122 5.332
angles: 90.00 90.00 90.00
Sites, in units of the cell vectors:
Sc  0.000  0.000  0.000
Hg  0.500  0.500  0.500
As  0.000  0.000  0.500
Se  0.000  0.500  0.000
Se  0.500  0.000  0.000

VASP calculation (PBE) on crystalline ScTaHgAs2 at its relaxed geometry.

Computed properties:
Energy of formation from the pure elements in eV per formula unit: 6.4
Total magnetization in μB per formula unit: 0.000
Symmetry: No. 123

abc: 5.097 5.097 5.178
angles: 90.00 90.00 90.00
Sites, in units of the cell vectors:
Sc  0.000  0.000  0.000
Ta  0.500  0.500  0.000
Hg  0.500  0.500  0.500
As  0.000  0.500  0.500
As  0.500  0.000  0.500

VASP calculation (PBE) on crystalline Sc6HgTe3As2 at its relaxed geometry.

Computed properties:
Total magnetization in μB per formula unit: 0.000
Formation energy without anion corrections in eV per atom: -1.09
Symmetry: No. 12

abc: 9.077 9.077 8.244
angles: 102.92 102.92 25.44
Sites, in units of the cell vectors:
Sc  0.010  0.010  0.252
Sc  0.325  0.325  0.434
Sc  0.333  0.333  0.890
Sc  0.667  0.667  0.110
Sc  0.675  0.675  0.566
Sc  0.990  0.990  0.748
Hg  0.500  0.500  0.000
Te  0.164  0.164  0.833
Te  0.500  0.500  0.500
Te  0.836  0.836  0.167
As  0.168  0.168  0.338
As  0.832  0.832  0.662